First-principles (PBE) data for a relaxed structure of LiEuRhAu, as listed in the Alexandria database.

Its energy relative to the elements is -0.335 eV per atom.

The space group is F-43m (No. 216) and the conventional cell measures 6.723, 6.723 and 6.723 Å, with angles of 90.00, 90.00 and 90.00 degrees. The inequivalent atoms are Li at (0.000, 0.000, 0.000), Eu at (0.250, 0.250, 0.750), Rh at (0.000, 0.000, 0.500) and Au at (0.250, 0.250, 0.250).